1.
Material: SiSnTe2
Method: DFT, PBEsol
State: relaxed

CIF file:
```
data_SiSnTe2
_chemical_formula_sum 'Si3 Sn3 Te6'
_space_group_name_H-M_alt 'R -3 m'
_space_group_IT_number 166
_space_group_name_Hall '-R 3 2"'
_cell_length_a 3.7789
_cell_length_b 3.7789
_cell_length_c 27.9940
_cell_angle_alpha 90.00
_cell_angle_beta 90.00
_cell_angle_gamma 120.00
loop_
_atom_site_label
_atom_site_fract_x
_atom_site_fract_y
_atom_site_fract_z
_atom_site_occupancy
Si1 0.0000 0.0000 0.0000 1
Sn1 0.0000 0.0000 0.5000 1
Te1 0.0000 0.0000 0.3899 1
```

***

2.
Material: Si3PdBr
Method: DFT, PBEsol
State: relaxed

CIF file:
```
data_Si3PdBr
_chemical_formula_sum 'Si3 Pd1 Br1'
_space_group_name_H-M_alt 'P m -3 m'
_space_group_IT_number 221
_space_group_name_Hall '-P 4 2 3'
_cell_length_a 4.7090
_cell_length_b 4.7090
_cell_length_c 4.7090
_cell_angle_alpha 90.00
_cell_angle_beta 90.00
_cell_angle_gamma 90.00
loop_
_atom_site_label
_atom_site_fract_x
_atom_site_fract_y
_atom_site_fract_z
_atom_site_occupancy
Si1 0.0000 0.0000 0.5000 1
Pd1 0.0000 0.0000 0.0000 1
Br1 0.5000 0.5000 0.5000 1
```

***

3.
Material: BaAsS2O
Method: DFT, PBEsol
State: relaxed

CIF file:
```
data_BaAsS2O
_chemical_formula_sum 'Ba1 As1 S2 O1'
_space_group_name_H-M_alt 'P 4/m m m'
_space_group_IT_number 123
_space_group_name_Hall '-P 4 2'
_cell_length_a 5.0342
_cell_length_b 5.0342
_cell_length_c 3.9749
_cell_angle_alpha 90.00
_cell_angle_beta 90.00
_cell_angle_gamma 90.00
loop_
_atom_site_label
_atom_site_fract_x
_atom_site_fract_y
_atom_site_fract_z
_atom_site_occupancy
Ba1 0.0000 0.0000 0.0000 1
As1 0.5000 0.5000 0.0000 1
S1 0.0000 0.5000 0.5000 1
O1 0.5000 0.5000 0.5000 1
```

***

4.
Material: BeBAs2Br
Method: DFT, PBEsol
State: relaxed

CIF file:
```
data_BeBAs2Br
_chemical_formula_sum 'Be1 B1 As2 Br1'
_space_group_name_H-M_alt 'P 4/m m m'
_space_group_IT_number 123
_space_group_name_Hall '-P 4 2'
_cell_length_a 4.2872
_cell_length_b 4.2872
_cell_length_c 4.6976
_cell_angle_alpha 90.00
_cell_angle_beta 90.00
_cell_angle_gamma 90.00
loop_
_atom_site_label
_atom_site_fract_x
_atom_site_fract_y
_atom_site_fract_z
_atom_site_occupancy
Be1 0.0000 0.0000 0.0000 1
B1 0.5000 0.5000 0.5000 1
As1 0.0000 0.5000 0.5000 1
Br1 0.5000 0.5000 0.0000 1
```

***

5.
Material: BaTiSi2Pb
Method: DFT, PBEsol
State: relaxed

**E above lowest polymorph**: 0 meV/atom

CIF file:
```
data_BaTiSi2Pb
_chemical_formula_sum 'Ba1 Ti1 Si2 Pb1'
_space_group_name_H-M_alt 'P 4/m m m'
_space_group_IT_number 123
_space_group_name_Hall '-P 4 2'
_cell_length_a 5.2604
_cell_length_b 5.2604
_cell_length_c 6.1024
_cell_angle_alpha 90.00
_cell_angle_beta 90.00
_cell_angle_gamma 90.00
loop_
_atom_site_label
_atom_site_fract_x
_atom_site_fract_y
_atom_site_fract_z
_atom_site_occupancy
Ba1 0.0000 0.0000 0.0000 1
Ti1 0.5000 0.5000 0.0000 1
Si1 0.0000 0.5000 0.5000 1
Pb1 0.0000 0.0000 0.5000 1
```

***

6.
Material: RbMnBiTe2
Method: DFT, PBEsol
State: relaxed

CIF file:
```
data_RbMnBiTe2
_chemical_formula_sum 'Rb1 Mn1 Bi1 Te2'
_space_group_name_H-M_alt 'P 4/m m m'
_space_group_IT_number 123
_space_group_name_Hall '-P 4 2'
_cell_length_a 5.9387
_cell_length_b 5.9387
_cell_length_c 6.4064
_cell_angle_alpha 90.00
_cell_angle_beta 90.00
_cell_angle_gamma 90.00
loop_
_atom_site_label
_atom_site_fract_x
_atom_site_fract_y
_atom_site_fract_z
_atom_site_occupancy
Rb1 0.0000 0.0000 0.0000 1
Mn1 0.5000 0.5000 0.0000 1
Bi1 0.0000 0.0000 0.5000 1
Te1 0.0000 0.5000 0.5000 1
```

***

Formation energy (no corrections): 9.5; 44.8; -38.8; 104.7; 129.8; 75.1 (kJ per mole of atoms)
Total DFT energy (no corrections): -4.166; -4.550; -4.657; -3.534; -3.847; -3.646 (eV per atom)